A relaxed structure of Tl6In5. Source: Alexandria via LeMat-Bulk, functional PBE.

abc: 10.348 7.806 5.827
angles: 77.36 70.73 48.49
Fractional positions:
1 Tl 0.808 0.000 0.691
2 Tl 0.192 0.000 0.309
3 Tl 0.354 0.700 0.811
4 Tl 0.945 0.700 0.189
5 Tl 0.646 0.300 0.189
6 Tl 0.055 0.300 0.811
7 In 0.500 0.000 0.500
8 In 0.367 0.267 0.000
9 In 0.633 0.733 0.000
10 In 0.225 0.550 0.500
11 In 0.775 0.450 0.500

Density of states at the Fermi level = 5.66 states/eV/cell
Energy above the lowest structure with this stoichiometry = 0 meV/atom
DFT formation energy = 0.05 eV per atom
Symmetry = C2/m (12)

=====

A relaxed structure of LiMn4Ni15. Source: Alexandria via LeMat-Bulk, functional PBE.

abc: 3.558 3.558 17.752
angles: 90.00 90.00 90.00
Last column: magnetic moment on the atom in μB.
Fractional positions:
1 Li 0.000 0.000 0.000  -0.02
2 Mn 0.000 0.000 0.197  3.19
3 Mn 0.000 0.000 0.400  -3.23
4 Mn 0.000 0.000 0.600  -3.23
5 Mn 0.000 0.000 0.803  3.19
6 Ni 0.500 0.500 0.000  0.61
7 Ni 0.500 0.500 0.199  0.37
8 Ni 0.500 0.500 0.399  -0.46
9 Ni 0.500 0.500 0.601  -0.46
10 Ni 0.500 0.500 0.801  0.37
11 Ni 0.500 0.000 0.098  0.55
12 Ni 0.500 0.000 0.299  -0.01
13 Ni 0.500 0.000 0.500  -0.57
14 Ni 0.500 0.000 0.701  -0.01
15 Ni 0.500 0.000 0.902  0.55
16 Ni 0.000 0.500 0.098  0.55
17 Ni 0.000 0.500 0.299  -0.01
18 Ni 0.000 0.500 0.500  -0.57
19 Ni 0.000 0.500 0.701  -0.01
20 Ni 0.000 0.500 0.902  0.55

Density of states at the Fermi level = 27.09 states/eV/cell
DFT formation energy = -0.06 eV per atom
Symmetry = P4/mmm (123)

=====

A relaxed structure of KIn4Pb12. Source: Alexandria via LeMat-Bulk, functional PBE.

abc: 9.167 9.167 9.167
angles: 109.47 109.47 109.47
Fractional positions:
1 K 0.000 0.000 0.000
2 In 0.000 0.500 0.000
3 In 0.500 0.000 0.000
4 In 0.500 0.500 0.500
5 In 0.000 0.000 0.500
6 Pb 0.849 0.353 0.201
7 Pb 0.353 0.504 0.151
8 Pb 0.799 0.151 0.647
9 Pb 0.353 0.201 0.849
10 Pb 0.201 0.849 0.353
11 Pb 0.647 0.496 0.849
12 Pb 0.504 0.151 0.353
13 Pb 0.496 0.849 0.647
14 Pb 0.647 0.799 0.151
15 Pb 0.849 0.647 0.496
16 Pb 0.151 0.353 0.504
17 Pb 0.151 0.647 0.799

Density of states at the Fermi level = 11.14 states/eV/cell
DFT formation energy = 0.12 eV per atom
Symmetry = Im-3 (204)

=====

A relaxed structure of Er7Zn2Ni2. Source: Alexandria via LeMat-Bulk, functional PBE.

abc: 6.578 6.837 6.578
angles: 90.00 110.14 90.00
Fractional positions:
1 Er 0.000 0.255 0.500
2 Er 0.500 0.745 0.000
3 Er 0.000 0.745 0.500
4 Er 0.500 0.255 0.000
5 Er 0.000 0.000 0.000
6 Er 0.500 0.752 0.500
7 Er 0.500 0.248 0.500
8 Zn 0.832 0.500 0.832
9 Zn 0.168 0.500 0.168
10 Ni 0.703 0.000 0.297
11 Ni 0.297 0.000 0.703

Density of states at the Fermi level = 11.90 states/eV/cell
DFT formation energy = -0.16 eV per atom
Symmetry = Cmmm (65)

=====

A relaxed structure of Pt2C. Source: Alexandria via LeMat-Bulk, functional PBE.

abc: 4.342 4.342 2.705
angles: 90.00 90.00 120.00
Fractional positions:
1 C 0.000 0.000 0.000
2 Pt 0.333 0.667 0.500
3 Pt 0.667 0.333 0.500

Density of states at the Fermi level = 2.45 states/eV/cell
Energy above the lowest structure with this stoichiometry = 1497 meV/atom
DFT formation energy = 2.05 eV per atom
Symmetry = P6/mmm (191)

=====

A relaxed structure of ScSnN2O. Source: Alexandria via LeMat-Bulk, functional PBE.

abc: 4.057 4.057 4.037
angles: 90.00 90.00 90.00
Fractional positions:
1 Sc 0.500 0.500 0.500
2 Sn 0.000 0.000 0.000
3 O 0.000 0.000 0.500
4 N 0.000 0.500 0.000
5 N 0.500 0.000 0.000

Density of states at the Fermi level = 3.48 states/eV/cell
Formation energy (no corrections) = -11.1 kJ per mole of atoms
Symmetry = P4/mmm (123)

=====

A relaxed structure of Tm10In3Pb3. Source: Alexandria via LeMat-Bulk, functional PBE.

abc: 6.569 8.898 8.898
angles: 120.00 90.00 90.00
Fractional positions:
1 Tm 0.244 0.667 0.333
2 Tm 0.244 0.333 0.667
3 Tm 0.756 0.333 0.667
4 Tm 0.756 0.667 0.333
5 Tm 0.500 0.000 0.765
6 Tm 0.500 0.765 0.000
7 Tm 0.500 0.235 0.235
8 Tm 0.000 0.000 0.236
9 Tm 0.000 0.236 0.000
10 Tm 0.000 0.764 0.764
11 In 0.000 0.000 0.602
12 In 0.000 0.602 0.000
13 In 0.000 0.398 0.398
14 Pb 0.500 0.000 0.399
15 Pb 0.500 0.399 0.000
16 Pb 0.500 0.601 0.601

Density of states at the Fermi level = 12.48 states/eV/cell
DFT formation energy = -0.44 eV per atom
Symmetry = P-62m (189)

=====

A relaxed structure of Sr3DyS4. Source: Alexandria via LeMat-Bulk, functional PBE.

abc: 4.152 7.234 7.234
angles: 109.22 90.00 90.00
Fractional positions:
1 Sr 0.000 0.000 0.500
2 Sr 0.500 0.500 0.500
3 Sr 0.000 0.500 0.000
4 Dy 0.500 0.000 0.000
5 S 0.000 0.233 0.233
6 S 0.500 0.760 0.240
7 S 0.000 0.767 0.767
8 S 0.500 0.240 0.760

Density of states at the Fermi level = 2.70 states/eV/cell
Formation energy (no corrections) = -199.8 kJ per mole of atoms
Symmetry = Cmmm (65)

=====

The lowest density of states at the Fermi level belongs to which entry?
Pt2C

=====

What is the density of states at the Fermi level in the seventh record?
12.48 states/eV/cell

=====

Which value of density of states at the Fermi level does entry 8 give?
2.70 states/eV/cell